VASP calculation (PBE) on PmPuIr4 after structural relaxation.

a b c (Å): 5.393 5.393 5.393
angles (deg): 60.00 60.00 60.00
Sites, in units of the cell vectors:
Pm: 0.000 0.000 0.000
Pu: 0.250 0.250 0.250
Ir: 0.126 0.625 0.625
Ir: 0.625 0.126 0.625
Ir: 0.625 0.625 0.126
Ir: 0.625 0.625 0.625

Properties
formation energy from the elements: -627 meV/atom